Density functional theory data (PBE-GGA) for Na2ScP after structural relaxation.

Structure (CIF):
```
data_Na2ScP
_symmetry_space_group_name_H-M 'I -4 2 d'
_symmetry_Int_Tables_number 122
_symmetry_space_group_name_Hall 'I -4 2bw'
_cell_length_a 3.8841
_cell_length_b 3.8841
_cell_length_c 23.6990
_cell_angle_alpha 90.00
_cell_angle_beta 90.00
_cell_angle_gamma 90.00
loop_
_atom_site_label
_atom_site_fract_x
_atom_site_fract_y
_atom_site_fract_z
Na1 0.2282 0.2500 0.1250
Sc1 0.0000 0.0000 0.5000
P1 0.0000 0.0000 0.0000
```

size of the total moment = 0.00 Bohr magnetons per cell
ΔH_f (0 K) = -84 kJ/mol of formula units
volume = 22.345 Å³/atom
N(E_F) = 2.668 states/eV/f.u.